# 1
The following is a GGA-PBE calculation of an optimized crystal structure of V2MoHRh, from Alexandria.

a b c (Å): 4.149 4.149 3.453
angles (deg): 90.00 90.00 90.00
Fractional coordinates of all 5 atoms:
H 0.000 0.000 0.000
V 0.500 0.000 0.000
Mo 0.500 0.500 0.500
Rh 0.000 0.000 0.500
V 0.000 0.500 0.000

Summary:
- Theoretical density: 8.426 g/cm3
- Volume: 59 Å³ per cell
- Space-group type: No. 123
- Electronic total energy: -40.33 eV per cell
- Offset from the most stable computed form: 0 meV/atom

# 2
The following is a GGA-PBE calculation of an optimized crystal structure of CsAlGaSe4, from Alexandria.

a b c (Å): 6.434 6.805 10.536
angles (deg): 90.00 102.88 90.00
Fractional coordinates of all 14 atoms:
Se 0.367 0.750 0.140
Ga 0.819 0.250 0.680
Se 0.502 0.750 0.500
Al 0.679 0.750 0.315
Se 0.921 0.486 0.296
Al 0.321 0.250 0.685
Se 0.498 0.250 0.500
Cs 0.226 0.250 0.063
Se 0.633 0.250 0.860
Cs 0.774 0.750 0.937
Se 0.079 0.986 0.704
Ga 0.181 0.750 0.320
Se 0.079 0.514 0.704
Se 0.921 0.014 0.296

Summary:
- Theoretical density: 4.028 g/cm3
- Volume: 450 Å³ per cell
- Space-group type: No. 11
- ΔE_f (raw): -0.79 eV/atom
- Electronic total energy: -54.20 eV per cell

# 3
The following is a GGA-PBE calculation of an optimized crystal structure of Dy2Er2Tm3, from Alexandria.

a b c (Å): 8.287 8.287 8.287
angles (deg): 109.47 109.47 109.47
Fractional coordinates of all 14 atoms:
Er 0.908 0.500 0.000
Tm 0.250 0.938 0.188
Er 0.500 0.408 0.500
Tm 0.688 0.750 0.938
Tm 0.062 0.312 0.250
Dy 0.000 0.000 0.808
Tm 0.438 0.188 0.750
Dy 0.192 0.692 0.692
Tm 0.750 0.562 0.312
Dy 0.308 0.500 0.000
Tm 0.812 0.250 0.562
Dy 0.500 0.808 0.500
Er 0.000 0.000 0.408
Er 0.592 0.092 0.092

Summary:
- DFT formation energy: 0.249 eV/atom
- Theoretical density: 8.842 g/cm3
- Volume: 438 Å³ per cell
- Space-group type: No. 199
- Electronic total energy: -60.01 eV per cell
- Offset from the most stable computed form: 130 meV/atom

# 4
The following is a GGA-PBE calculation of an optimized crystal structure of SnS2N2, from Alexandria.

a b c (Å): 3.705 3.704 12.237
angles (deg): 63.46 101.87 119.95
Fractional coordinates of all 5 atoms:
Sn 0.000 0.000 0.000
N 0.591 0.622 0.456
N 0.409 0.378 0.544
S 0.323 0.462 0.135
S 0.677 0.538 0.865

Summary:
- Theoretical density: 2.691 g/cm3
- Volume: 130 Å³ per cell
- Space-group type: No. 2
- ΔE_f (raw): -0.22 eV/atom
- Electronic total energy: -30.03 eV per cell
- Offset from the most stable computed form: 0 meV/atom

# 5
The following is a GGA-PBE calculation of an optimized crystal structure of TePdSe3, from Alexandria.

a b c (Å): 3.960 6.885 9.282
angles (deg): 91.84 90.00 90.00
Fractional coordinates of all 10 atoms:
Se 0.750 0.365 0.657
Se 0.250 0.199 0.002
Te 0.750 0.416 0.193
Pd 0.250 0.921 0.180
Se 0.750 0.082 0.319
Se 0.750 0.801 0.998
Pd 0.750 0.079 0.820
Se 0.250 0.918 0.681
Se 0.250 0.635 0.343
Te 0.250 0.584 0.807

Summary:
- Theoretical density: 6.183 g/cm3
- Volume: 253 Å³ per cell
- Space-group type: No. 11
- ΔE_f (raw): -0.09 eV/atom
- Electronic total energy: -38.46 eV per cell
- Offset from the most stable computed form: 33 meV/atom

# 6
The following is a GGA-PBE calculation of an optimized crystal structure of Pr3Te3I, from Alexandria.

a b c (Å): 9.616 9.616 8.419
angles (deg): 55.17 55.17 60.00
Fractional coordinates of all 14 atoms:
Te 0.092 0.379 0.733
Pr 0.081 0.711 0.766
Pr 0.441 0.081 0.766
I 0.329 0.329 0.014
Pr 0.289 0.559 0.234
Te 0.908 0.621 0.267
Pr 0.919 0.289 0.234
Te 0.621 0.204 0.267
Te 0.796 0.092 0.733
Te 0.379 0.796 0.733
Te 0.204 0.908 0.267
I 0.671 0.671 0.986
Pr 0.711 0.441 0.766
Pr 0.559 0.919 0.234

Summary:
- Theoretical density: 6.110 g/cm3
- Volume: 507 Å³ per cell
- Space-group type: No. 148
- ΔE_f (raw): -1.34 eV/atom
- Electronic total energy: -69.37 eV per cell